The following is a DFT calculation (PBE+U) of crystalline HoCoO3 at its relaxed geometry.

Cell: 5.3892 7.3636 5.1319 Å, 90.00 90.00 90.00°
Closest atoms and distances in Å follow each position.
Space group Pnma (No. 62)
One atom of each set of equivalent atoms:
Ho 0.0715 0.2500 0.0200 [4 per cell]  6 O 2.21-2.42
Co 0.0000 0.0000 0.5000 [4 per cell]  6 O 1.92-1.94
O 0.0263 0.7500 0.3982 [4 per cell]  2 Co 1.92
O 0.1985 0.5505 0.8072 [8 per cell]  2 Co 1.94

Results
* uncorrected energy: -143.58 eV/cell
* total moment: 0.0 μB per formula unit